(1)
# PBE Ac4PmAg, optimized geometry
data_Ac4PmAg
_cell_length_a 3.944
_cell_length_b 3.944
_cell_length_c 14.858
_cell_angle_alpha 90.00
_cell_angle_beta 90.00
_cell_angle_gamma 90.00
_space_group_name_H-M_alt 'P 4/m m m'
_space_group_IT_number 123
_space_group_name_Hall '-P 4 2'
loop_
_atom_site_label
_atom_site_type_symbol
_atom_site_fract_x
_atom_site_fract_y
_atom_site_fract_z
_atom_site_occupancy
Ac1 Ac 0.000 0.000 0.134 1
Ac2 Ac 0.500 0.500 0.328 1
Pm1 Pm 0.000 0.000 0.500 1
Ag1 Ag 0.500 0.500 0.000 1
# DFT formation energy (kcal/mol of atoms): -1.45

---

(2)
# PBE AcPm2Ag2, optimized geometry
data_AcPm2Ag2
_cell_length_a 3.817
_cell_length_b 5.534
_cell_length_c 14.207
_cell_angle_alpha 90.00
_cell_angle_beta 97.68
_cell_angle_gamma 90.00
_space_group_name_H-M_alt 'P 1 21/m 1'
_space_group_IT_number 11
loop_
_space_group_symop_operation_xyz
'x,y,z'
'-x,-y,-z'
'-x,y+1/2,-z'
'x,-y+1/2,z'
loop_
_atom_site_label
_atom_site_type_symbol
_atom_site_fract_x
_atom_site_fract_y
_atom_site_fract_z
_atom_site_occupancy
Ac1 Ac 0.143 0.250 0.287 1
Pm1 Pm 0.048 0.750 0.095 1
Pm2 Pm 0.234 0.750 0.467 1
Ag1 Ag 0.358 0.250 0.716 1
Ag2 Ag 0.458 0.750 0.916 1
# Polymorph energy (0 for the lowest one) (eV/atom): 0.000
# DFT formation energy (kcal/mol of atoms): -4.29